Compound: Na2Nd2MoO6
Source: Alexandria
Functional: GGA+U
Structure: optimized geometry

Values from the calculation:
**Uncorrected energy**: -149.6 eV/cell

Unit cell a=6.038 b=10.359 c=5.925 alpha=90.00 beta=105.25 gamma=90.00
Space group C2/m (No. 12)
Inequivalent atoms, fractional coordinates:
Na  0.000  0.139  0.000
Nd  0.000  0.337  0.500
Mo  0.000  0.000  0.500
O  0.193  0.151  0.692
O  0.246  0.000  0.296